No. 1
SrW2Au (PBE, relaxed); ΔE to the lowest computed polymorph = 0.617 eV/atom; final energy = -6.6739 eV per atom; N(E_F) = 2.8 states/eV/f.u.; formation energy from the elements = 1042 meV per atom; space-group type = Cmmm
1.0
2.818 -5.148 0.000
2.818 5.148 0.000
0.000 0.000 2.744
Sr W Au
1 2 1
Direct
0.000 0.000 0.000
0.000 0.500 0.500
0.500 0.000 0.500
0.500 0.500 0.000

---

No. 2
SrWAu2 (PBE, relaxed); ΔE to the lowest computed polymorph = 0.010 eV/atom; final energy = -5.0247 eV per atom; N(E_F) = 2.8 states/eV/f.u.; formation energy from the elements = 273 meV per atom; space-group type = P4/mmm
1.0
3.099 0.000 0.000
0.000 3.099 0.000
0.000 0.000 8.516
Sr W Au
1 1 2
Direct
0.000 0.000 0.000
0.000 0.000 0.500
0.500 0.500 0.287
0.500 0.500 0.713

---

No. 3
SrW2Au (PBE, relaxed); ΔE to the lowest computed polymorph = 0.592 eV/atom; final energy = -6.6989 eV per atom; N(E_F) = 3.9 states/eV/f.u.; formation energy from the elements = 1017 meV per atom; space-group type = I4/mmm
1.0
-1.999 1.999 5.150
1.999 -1.999 5.150
1.999 1.999 -5.150
Sr W Au
1 2 1
Direct
0.000 0.000 0.000
0.250 0.750 0.500
0.750 0.250 0.500
0.500 0.500 0.000

---

No. 4
SrWAu3 (PBE, relaxed); ΔE to the lowest computed polymorph = 0.000 eV/atom; final energy = -4.6064 eV per atom; N(E_F) = 3.9 states/eV/f.u.; formation energy from the elements = 287 meV per atom; space-group type = Pm-3m
1.0
5.125 0.000 0.000
0.000 5.125 0.000
0.000 0.000 5.125
Sr W Au
1 1 3
Direct
0.000 0.000 0.000
0.500 0.500 0.500
0.000 0.500 0.500
0.500 0.000 0.500
0.500 0.500 0.000

---

| no. | M_tot (μB per formula unit) |
| --- | --- |
| 1 | 0.0 |
| 2 | 0.0 |
| 3 | 0.0 |
| 4 | 0.0 |